Entry from Alexandria: LaTmSi2Pt2 after structural relaxation (PBE).

For the total energy, the calculation gives -6.536 eV per atom. As for the calculated volume: 20.84 Å³ per atom. As for the symmetry: P-3m1. For the magnetic moment, the calculation gives 0.000 μB/f.u.

Cell: 4.1950 4.1950 8.2061 Å, 90.00 90.00 120.00°
Fractional positions:
Si1 0.3333 0.6667 0.2622
Si2 0.6667 0.3333 0.7378
Pt1 0.3333 0.6667 0.7246
Pt2 0.6667 0.3333 0.2754
Tm1 0.0000 0.0000 0.5000
La1 0.0000 0.0000 0.0000



Entry from Alexandria: NaYRh3 after structural relaxation (PBE).

For the total energy, the calculation gives -5.203 eV per atom. As for the calculated volume: 19.18 Å³ per atom. As for the symmetry: Pm-3m. For the magnetic moment, the calculation gives 0.000 μB/f.u. The distance to the lowest polymorph of the same formula is 0.0 meV/atom. The value obtained for the formation energy from the elements is 73.74 kJ/mol of atoms.

Cell: 4.5770 4.5770 4.5770 Å, 90.00 90.00 90.00°
Fractional positions:
Na1 0.0000 0.0000 0.0000
Rh1 0.5000 0.0000 0.0000
Rh2 0.0000 0.0000 0.5000
Rh3 0.0000 0.5000 0.0000
Y1 0.5000 0.5000 0.5000



Entry from Alexandria: KRbSr2Ge after structural relaxation (PBE).

For the total energy, the calculation gives -1.434 eV per atom. As for the calculated volume: 55.90 Å³ per atom. As for the symmetry: P4/mmm. For the magnetic moment, the calculation gives 0.000 μB/f.u. The value obtained for the formation energy from the elements is 55.47 kJ/mol of atoms.

Cell: 6.8691 5.9240 6.8691 Å, 90.00 90.00 90.00°
Fractional positions:
Sr1 0.5000 0.0000 0.0000
Sr2 0.0000 0.0000 0.5000
Ge1 0.0000 0.5000 0.0000
K1 0.0000 0.0000 0.0000
Rb1 0.5000 0.5000 0.5000



Entry from Alexandria: TbCeCu4 after structural relaxation (PBE).

For the total energy, the calculation gives -4.596 eV per atom. As for the calculated volume: 17.30 Å³ per atom. As for the symmetry: F-43m. For the magnetic moment, the calculation gives 0.814 μB/f.u. The distance to the lowest polymorph of the same formula is 98.9 meV/atom. The value obtained for the formation energy from the elements is -10.04 kJ/mol of atoms.

Cell: 5.2755 5.2755 5.2755 Å, 60.00 60.00 60.00°
Last column: magnetic moment on the atom in μB.
Fractional positions:
Cu1 0.6256 0.6256 0.1233  0.01
Cu2 0.6256 0.6256 0.6256  0.01
Cu3 0.1233 0.6256 0.6256  0.01
Cu4 0.6256 0.1233 0.6256  0.01
Ce1 0.2500 0.2500 0.2500  0.53
Tb1 0.0000 0.0000 0.0000  0.09



Entry from Alexandria: LiNbCo2 after structural relaxation (PBE).

For the total energy, the calculation gives -6.532 eV per atom. As for the calculated volume: 12.80 Å³ per atom. As for the symmetry: P4/mmm. For the magnetic moment, the calculation gives 0.001 μB/f.u. The distance to the lowest polymorph of the same formula is 27.0 meV/atom. The value obtained for the formation energy from the elements is 1.66 kJ/mol of atoms.

Cell: 3.0514 3.0514 5.4968 Å, 90.00 90.00 90.00°
Fractional positions:
Co1 0.0000 0.0000 0.2448
Co2 0.0000 0.0000 0.7552
Li1 0.5000 0.5000 0.0000
Nb1 0.5000 0.5000 0.5000



Entry from Alexandria: TbPr2Er4Th after structural relaxation (PBE).

For the total energy, the calculation gives -4.949 eV per atom. As for the calculated volume: 32.30 Å³ per atom. As for the symmetry: P4/mmm. For the magnetic moment, the calculation gives 0.000 μB/f.u. The value obtained for the formation energy from the elements is 3.22 kJ/mol of atoms.

Cell: 5.0989 5.0973 11.1712 Å, 62.86 90.00 90.00°
Fractional positions:
Er1 0.0000 0.7532 0.7467
Er2 0.0000 0.2468 0.2533
Er3 0.5000 0.2537 0.7465
Er4 0.5000 0.7463 0.2535
Tb1 0.5000 0.5000 0.0000
Th1 0.0000 0.5000 0.5000
Pr1 0.5000 0.0000 0.5000
Pr2 0.0000 0.0000 0.0000